Version P
VASP calculation (PBE with a Hubbard U) on a relaxed AlNiI2O crystal.

Output
- Crystal system: tetragonal
- Space group: No. 123
- Fermi-level density of states: 0.37 states/eV/atom

Cell lengths 6.023, 6.023, 3.520 Å; angles 90.00, 90.00, 90.00 degrees
Positions (direct):
Al  0.000  0.000  0.000
Ni  0.500  0.500  0.500
I  0.000  0.500  0.500
I  0.500  0.000  0.500
O  0.500  0.500  0.000



Version Q
VASP calculation (PBE with a Hubbard U) on a relaxed AlNiI2O crystal.

Output
- Crystal system: tetragonal
- Space group: No. 123
- Fermi-level density of states: 0.22 states/eV/atom

Cell lengths 5.693, 5.693, 3.495 Å; angles 90.00, 90.00, 90.00 degrees
Positions (direct):
Al  0.000  0.000  0.000
Ni  0.500  0.500  0.500
I  0.000  0.500  0.000
I  0.500  0.000  0.000
O  0.000  0.000  0.500



Result of the stability comparison: version Q is the most stable of them.